(1)
# AlTl2As (PBE-GGA, relaxed)
# E_tot: -12.9 eV/f.u.
# DOS(E_F): 0.28 states/eV per atom
# Magnetization: 0.00 μB per cell
data_AlTl2As
_chemical_formula_sum 'Al2 Tl4 As2'
_cell_length_a 3.884
_cell_length_b 4.377
_cell_length_c 13.342
_cell_angle_alpha 90.00
_cell_angle_beta 90.00
_cell_angle_gamma 90.00
_space_group_name_H-M_alt 'I m m 2'
_space_group_IT_number 44
loop_
_space_group_symop_operation_xyz
'x,y,z'
'-x,-y,z'
'-x,y,z'
'x,-y,z'
'x+1/2,y+1/2,z+1/2'
'-x+1/2,-y+1/2,z+1/2'
'-x+1/2,y+1/2,z+1/2'
'x+1/2,-y+1/2,z+1/2'
loop_
_atom_site_label
_atom_site_type_symbol
_atom_site_fract_x
_atom_site_fract_y
_atom_site_fract_z
Al1 Al 0.000 0.000 0.000
Tl1 Tl 0.000 0.000 0.579
Tl2 Tl 0.000 0.500 0.781
As1 As 0.000 0.500 0.383

---

(2)
# LiNp2Ni3As4 (PBE-GGA, relaxed)
# E_tot: -68.9 eV/f.u.
# DOS(E_F): 1.91 states/eV per atom
# Magnetization: 7.72 μB per cell
data_LiNp2Ni3As4
_chemical_formula_sum 'Li1 Np2 Ni3 As4'
_cell_length_a 4.198
_cell_length_b 4.198
_cell_length_c 9.418
_cell_angle_alpha 90.00
_cell_angle_beta 90.00
_cell_angle_gamma 90.00
_space_group_name_H-M_alt 'P -4 m 2'
_space_group_IT_number 115
loop_
_space_group_symop_operation_xyz
'x,y,z'
'y,-x,-z'
'-x,-y,z'
'-y,x,-z'
'-x,y,z'
'-y,-x,-z'
'x,-y,z'
'y,x,-z'
loop_
_atom_site_label
_atom_site_type_symbol
_atom_site_fract_x
_atom_site_fract_y
_atom_site_fract_z
Li1 Li 0.000 0.000 0.000
Np1 Np 0.000 0.500 0.746
Ni1 Ni 0.000 0.500 0.386
Ni2 Ni 0.500 0.500 0.000
As1 As 0.000 0.000 0.500
As2 As 0.000 0.500 0.138
As3 As 0.500 0.500 0.500

---

(3)
# Na2ScInCl6 (PBE-GGA, relaxed)
# DOS(E_F): 0.00 states/eV per atom
# Magnetization: 0.00 μB per cell
# Formation energy (no corrections): -1.732 eV/atom
data_Na2ScInCl6
_chemical_formula_sum 'Na6 Sc3 In3 Cl18'
_cell_length_a 7.0803
_cell_length_b 7.0803
_cell_length_c 19.4450
_cell_angle_alpha 90.00
_cell_angle_beta 90.00
_cell_angle_gamma 120.00
_space_group_name_H-M_alt 'R 3'
_space_group_IT_number 146
_space_group_name_Hall 'R 3'
loop_
_atom_site_label
_atom_site_type_symbol
_atom_site_fract_x
_atom_site_fract_y
_atom_site_fract_z
Na1 Na 0.0000 0.0000 0.0000
Na2 Na 0.0000 0.0000 0.4820
Sc1 Sc 0.0000 0.0000 0.6771
In1 In 0.0000 0.0000 0.1972
Cl1 Cl 0.0025 0.3003 0.7455
Cl2 Cl 0.0348 0.7397 0.5951

---

(4)
# La6TlTe5 (PBE-GGA, relaxed)
# DOS(E_F): 0.64 states/eV per atom
# Magnetization: 0.00 μB per cell
# Formation energy (no corrections): -1.405 eV/atom
data_La6TlTe5
_chemical_formula_sum 'La12 Tl2 Te10'
_cell_length_a 7.977
_cell_length_b 13.784
_cell_length_c 7.963
_cell_angle_alpha 90.00
_cell_angle_beta 109.38
_cell_angle_gamma 90.00
_space_group_name_H-M_alt 'C 1 2/m 1'
_space_group_IT_number 12
loop_
_space_group_symop_operation_xyz
'x,y,z'
'-x,-y,-z'
'-x,y,-z'
'x,-y,z'
'x+1/2,y+1/2,z'
'-x+1/2,-y+1/2,-z'
'-x+1/2,y+1/2,-z'
'x+1/2,-y+1/2,z'
loop_
_atom_site_label
_atom_site_type_symbol
_atom_site_fract_x
_atom_site_fract_y
_atom_site_fract_z
La1 La 0.247 0.000 0.252
La2 La 0.247 0.165 0.748
Tl1 Tl 0.000 0.000 0.500
Te1 Te 0.000 0.168 0.000
Te2 Te 0.000 0.334 0.500
Te3 Te 0.000 0.500 0.000

---

(5)
# K2MgZnSb2 (PBE-GGA, relaxed)
# DOS(E_F): 0.05 states/eV per atom
# Magnetization: 0.00 μB per cell
# Formation energy (no corrections): -0.475 eV/atom
data_K2MgZnSb2
_chemical_formula_sum 'K8 Mg4 Zn4 Sb8'
_cell_length_a 6.678
_cell_length_b 16.561
_cell_length_c 6.735
_cell_angle_alpha 90.00
_cell_angle_beta 90.00
_cell_angle_gamma 90.00
_space_group_name_H-M_alt 'I b a m'
_space_group_IT_number 72
_space_group_name_Hall '-I 2 2c'
loop_
_atom_site_label
_atom_site_type_symbol
_atom_site_fract_x
_atom_site_fract_y
_atom_site_fract_z
K1 K 0.248 0.173 0.000
Mg1 Mg 0.000 0.500 0.250
Zn1 Zn 0.000 0.000 0.250
Sb1 Sb 0.239 0.099 0.500

---

(6)
# InOs2Au (PBE-GGA, relaxed)
# E_tot: -25.6 eV/f.u.
# DOS(E_F): 1.45 states/eV per atom
# Magnetization: 0.00 μB per cell
data_InOs2Au
_chemical_formula_sum 'In1 Os2 Au1'
_cell_length_a 4.014
_cell_length_b 4.014
_cell_length_c 4.109
_cell_angle_alpha 90.00
_cell_angle_beta 90.00
_cell_angle_gamma 90.00
_space_group_name_H-M_alt 'P 4/m m m'
_space_group_IT_number 123
_space_group_name_Hall '-P 4 2'
loop_
_atom_site_label
_atom_site_type_symbol
_atom_site_fract_x
_atom_site_fract_y
_atom_site_fract_z
In1 In 0.000 0.000 0.000
Os1 Os 0.000 0.500 0.500
Au1 Au 0.500 0.500 0.000

---

(7)
# TbPm2Ga2Ag2 (PBE-GGA, relaxed)
# E_tot: -28.5 eV/f.u.
# DOS(E_F): 0.79 states/eV per atom
# Magnetization: 0.01 μB per cell
data_TbPm2Ga2Ag2
_chemical_formula_sum 'Tb3 Pm6 Ga6 Ag6'
_cell_length_a 4.6331
_cell_length_b 4.6331
_cell_length_c 27.4072
_cell_angle_alpha 90.00
_cell_angle_beta 90.00
_cell_angle_gamma 120.00
_space_group_name_H-M_alt 'R -3 m'
_space_group_IT_number 166
_space_group_name_Hall '-R 3 2"'
loop_
_atom_site_label
_atom_site_type_symbol
_atom_site_fract_x
_atom_site_fract_y
_atom_site_fract_z
Tb1 Tb 0.0000 0.0000 0.0000
Pm1 Pm 0.0000 0.0000 0.1250
Ga1 Ga 0.0000 0.0000 0.2624
Ag1 Ag 0.0000 0.0000 0.3938

---

(8)
# Sm4Si2Cl5 (PBE-GGA, relaxed)
# DOS(E_F): 0.27 states/eV per atom
# Magnetization: 0.00 μB per cell
# Formation energy (no corrections): -1.414 eV/atom
data_Sm4Si2Cl5
_chemical_formula_sum 'Sm8 Si4 Cl10'
_cell_length_a 24.528
_cell_length_b 8.005
_cell_length_c 4.029
_cell_angle_alpha 90.00
_cell_angle_beta 99.27
_cell_angle_gamma 90.00
_space_group_name_H-M_alt 'C 1 2/m 1'
_space_group_IT_number 12
loop_
_space_group_symop_operation_xyz
'x,y,z'
'-x,-y,-z'
'-x,y,-z'
'x,-y,z'
'x+1/2,y+1/2,z'
'-x+1/2,-y+1/2,-z'
'-x+1/2,y+1/2,-z'
'x+1/2,-y+1/2,z'
loop_
_atom_site_label
_atom_site_type_symbol
_atom_site_fract_x
_atom_site_fract_y
_atom_site_fract_z
Sm1 Sm 0.000 0.224 0.000
Sm2 Sm 0.158 0.000 0.662
Si1 Si 0.047 0.000 0.546
Cl1 Cl 0.000 0.500 0.500
Cl2 Cl 0.181 0.224 0.185

---

(9)
# BaSr2LaAu (PBE-GGA, relaxed)
# E_tot: -14.8 eV/f.u.
# DOS(E_F): 1.18 states/eV per atom
# Magnetization: 0.00 μB per cell
data_BaSr2LaAu
_chemical_formula_sum 'Ba1 Sr2 La1 Au1'
_cell_length_a 6.279
_cell_length_b 6.279
_cell_length_c 5.916
_cell_angle_alpha 90.00
_cell_angle_beta 90.00
_cell_angle_gamma 90.00
_space_group_name_H-M_alt 'P 4/m m m'
_space_group_IT_number 123
_space_group_name_Hall '-P 4 2'
loop_
_atom_site_label
_atom_site_type_symbol
_atom_site_fract_x
_atom_site_fract_y
_atom_site_fract_z
Ba1 Ba 0.000 0.000 0.000
Sr1 Sr 0.000 0.500 0.500
La1 La 0.500 0.500 0.000
Au1 Au 0.500 0.500 0.500

---

(10)
# SrLaBeN2 (PBE-GGA, relaxed)
# DOS(E_F): 0.33 states/eV per atom
# Magnetization: 0.00 μB per cell
# Formation energy (no corrections): -0.803 eV/atom
data_SrLaBeN2
_chemical_formula_sum 'Sr2 La2 Be2 N4'
_cell_length_a 5.245
_cell_length_b 5.516
_cell_length_c 7.018
_cell_angle_alpha 90.00
_cell_angle_beta 90.00
_cell_angle_gamma 90.00
_space_group_name_H-M_alt 'P c c m'
_space_group_IT_number 49
loop_
_space_group_symop_operation_xyz
'x,y,z'
'-x,-y,-z'
'-x,-y,z'
'x,y,-z'
'x,-y,-z+1/2'
'-x,y,z+1/2'
'-x,y,-z+1/2'
'x,-y,z+1/2'
loop_
_atom_site_label
_atom_site_type_symbol
_atom_site_fract_x
_atom_site_fract_y
_atom_site_fract_z
Sr1 Sr 0.000 0.000 0.250
La1 La 0.500 0.500 0.250
Be1 Be 0.500 0.000 0.000
N1 N 0.325 0.224 0.000

---

(11)
# CsBPd2 (PBE-GGA, relaxed)
# E_tot: -17.4 eV/f.u.
# DOS(E_F): 0.21 states/eV per atom
# Magnetization: 0.00 μB per cell
data_CsBPd2
_chemical_formula_sum 'Cs3 B3 Pd6'
_cell_length_a 3.6097
_cell_length_b 3.6097
_cell_length_c 22.8387
_cell_angle_alpha 90.00
_cell_angle_beta 90.00
_cell_angle_gamma 120.00
_space_group_name_H-M_alt 'R -3 m'
_space_group_IT_number 166
_space_group_name_Hall '-R 3 2"'
loop_
_atom_site_label
_atom_site_type_symbol
_atom_site_fract_x
_atom_site_fract_y
_atom_site_fract_z
Cs1 Cs 0.0000 0.0000 0.0000
B1 B 0.0000 0.0000 0.5000
Pd1 Pd 0.0000 0.0000 0.2034

---

(12)
# Sm2AgAu6 (PBE-GGA, relaxed)
# E_tot: -36.4 eV/f.u.
# DOS(E_F): 0.58 states/eV per atom
# Magnetization: 0.00 μB per cell
data_Sm2AgAu6
_chemical_formula_sum 'Sm2 Ag1 Au6'
_cell_length_a 6.3367
_cell_length_b 6.3367
_cell_length_c 5.6162
_cell_angle_alpha 90.00
_cell_angle_beta 90.00
_cell_angle_gamma 120.00
_space_group_name_H-M_alt 'P -3 m 1'
_space_group_IT_number 164
_space_group_name_Hall '-P 3 2"'
loop_
_atom_site_label
_atom_site_type_symbol
_atom_site_fract_x
_atom_site_fract_y
_atom_site_fract_z
Sm1 Sm 0.3333 0.6667 0.1701
Ag1 Ag 0.0000 0.0000 0.0000
Au1 Au 0.1844 0.3689 0.6799

---

(13)
# Cs3In2Ge4 (PBE-GGA, relaxed)
# E_tot: -26.7 eV/f.u.
# DOS(E_F): 0.44 states/eV per atom
# Magnetization: 0.00 μB per cell
data_Cs3In2Ge4
_chemical_formula_sum 'Cs3 In2 Ge4'
_cell_length_a 4.484
_cell_length_b 7.624
_cell_length_c 10.381
_cell_angle_alpha 70.03
_cell_angle_beta 81.00
_cell_angle_gamma 73.25
_space_group_name_H-M_alt 'P -1'
_space_group_IT_number 2
loop_
_space_group_symop_operation_xyz
'x,y,z'
'-x,-y,-z'
loop_
_atom_site_label
_atom_site_type_symbol
_atom_site_fract_x
_atom_site_fract_y
_atom_site_fract_z
Cs1 Cs 0.000 0.000 0.000
Cs2 Cs 0.309 0.289 0.638
In1 In 0.455 0.286 0.238
Ge1 Ge 0.030 0.859 0.611
Ge2 Ge 0.291 0.410 0.966

---

(14)
# NbV2SbH (PBE-GGA, relaxed)
# E_tot: -36.3 eV/f.u.
# DOS(E_F): 0.62 states/eV per atom
# Magnetization: 0.00 μB per cell
data_NbV2SbH
_chemical_formula_sum 'Nb1 V2 Sb1 H1'
_cell_length_a 4.074
_cell_length_b 4.074
_cell_length_c 4.066
_cell_angle_alpha 90.00
_cell_angle_beta 90.00
_cell_angle_gamma 90.00
_space_group_name_H-M_alt 'P 4/m m m'
_space_group_IT_number 123
_space_group_name_Hall '-P 4 2'
loop_
_atom_site_label
_atom_site_type_symbol
_atom_site_fract_x
_atom_site_fract_y
_atom_site_fract_z
Nb1 Nb 0.000 0.000 0.000
V1 V 0.000 0.500 0.500
Sb1 Sb 0.500 0.500 0.000
H1 H 0.000 0.000 0.500

---

(15)
# TlPd3Au2 (PBE-GGA, relaxed)
# E_tot: -24.6 eV/f.u.
# DOS(E_F): 0.47 states/eV per atom
# Magnetization: 0.00 μB per cell
data_TlPd3Au2
_chemical_formula_sum 'Tl4 Pd12 Au8'
_cell_length_a 5.703
_cell_length_b 14.416
_cell_length_c 5.294
_cell_angle_alpha 90.00
_cell_angle_beta 90.00
_cell_angle_gamma 90.00
_space_group_name_H-M_alt 'C m c m'
_space_group_IT_number 63
_space_group_name_Hall '-C 2c 2'
loop_
_atom_site_label
_atom_site_type_symbol
_atom_site_fract_x
_atom_site_fract_y
_atom_site_fract_z
Tl1 Tl 0.000 0.165 0.250
Pd1 Pd 0.000 0.346 0.750
Pd2 Pd 0.247 0.173 0.750
Au1 Au 0.247 0.500 0.000

---

(16)
# TbNd2Co2 (PBE-GGA, relaxed)
# E_tot: -28.6 eV/f.u.
# DOS(E_F): 1.22 states/eV per atom
# Magnetization: 1.99 μB per cell
data_TbNd2Co2
_chemical_formula_sum 'Tb2 Nd4 Co4'
_cell_length_a 4.049
_cell_length_b 14.305
_cell_length_c 4.172
_cell_angle_alpha 90.00
_cell_angle_beta 90.00
_cell_angle_gamma 90.00
_space_group_name_H-M_alt 'C m m m'
_space_group_IT_number 65
_space_group_name_Hall '-C 2 2'
loop_
_atom_site_label
_atom_site_type_symbol
_atom_site_fract_x
_atom_site_fract_y
_atom_site_fract_z
Tb1 Tb 0.000 0.000 0.000
Nd1 Nd 0.000 0.356 0.500
Co1 Co 0.000 0.212 0.000

---

(17)
# PuHfPb (PBE-GGA, relaxed)
# E_tot: -27.5 eV/f.u.
# DOS(E_F): 2.52 states/eV per atom
# Magnetization: 6.00 μB per cell
data_PuHfPb
_chemical_formula_sum 'Pu1 Hf1 Pb1'
_cell_length_a 5.1884
_cell_length_b 5.1884
_cell_length_c 3.3477
_cell_angle_alpha 90.00
_cell_angle_beta 90.00
_cell_angle_gamma 120.00
_space_group_name_H-M_alt 'P 3 m 1'
_space_group_IT_number 156
loop_
_space_group_symop_operation_xyz
'x,y,z'
'-y,x-y,z'
'-x+y,-x,z'
'-y,-x,z'
'-x+y,y,z'
'x,x-y,z'
loop_
_atom_site_label
_atom_site_type_symbol
_atom_site_fract_x
_atom_site_fract_y
_atom_site_fract_z
Pu1 Pu 0.0000 0.0000 0.0000
Hf1 Hf 0.6667 0.3333 0.5011
Pb1 Pb 0.3333 0.6667 0.4983

---

(18)
# Li2PuCd6 (PBE-GGA, relaxed)
# E_tot: -24.9 eV/f.u.
# DOS(E_F): 1.24 states/eV per atom
# Magnetization: 11.48 μB per cell
data_Li2PuCd6
_chemical_formula_sum 'Li4 Pu2 Cd12'
_cell_length_a 15.234
_cell_length_b 8.718
_cell_length_c 3.057
_cell_angle_alpha 90.00
_cell_angle_beta 101.49
_cell_angle_gamma 90.00
_space_group_name_H-M_alt 'C 1 2/m 1'
_space_group_IT_number 12
loop_
_space_group_symop_operation_xyz
'x,y,z'
'-x,-y,-z'
'-x,y,-z'
'x,-y,z'
'x+1/2,y+1/2,z'
'-x+1/2,-y+1/2,-z'
'-x+1/2,y+1/2,-z'
'x+1/2,-y+1/2,z'
loop_
_atom_site_label
_atom_site_type_symbol
_atom_site_fract_x
_atom_site_fract_y
_atom_site_fract_z
Li1 Li 0.149 0.000 0.146
Pu1 Pu 0.000 0.500 0.000
Cd1 Cd 0.000 0.164 0.500
Cd2 Cd 0.174 0.326 0.674

---

(19)
# Pr2HfCu3Ni12 (PBE-GGA, relaxed)
# E_tot: -100.6 eV/f.u.
# DOS(E_F): 1.06 states/eV per atom
# Magnetization: 0.00 μB per cell
data_Pr2HfCu3Ni12
_chemical_formula_sum 'Pr6 Hf3 Cu9 Ni36'
_cell_length_a 8.4775
_cell_length_b 8.4775
_cell_length_c 12.3029
_cell_angle_alpha 90.00
_cell_angle_beta 90.00
_cell_angle_gamma 120.00
_space_group_name_H-M_alt 'R -3 m'
_space_group_IT_number 166
_space_group_name_Hall '-R 3 2"'
loop_
_atom_site_label
_atom_site_type_symbol
_atom_site_fract_x
_atom_site_fract_y
_atom_site_fract_z
Pr1 Pr 0.0000 0.0000 0.2073
Hf1 Hf 0.0000 0.0000 0.5000
Cu1 Cu 0.0000 0.5000 0.0000
Ni1 Ni 0.0106 0.5053 0.2062
Ni2 Ni 0.0339 0.5169 0.6068

---

(20)
# Y3Sc2Al3O12 (PBE-GGA, relaxed)
# DOS(E_F): 0.00 states/eV per atom
# Magnetization: 0.00 μB per cell
# Formation energy (no corrections): -3.390 eV/atom
data_Y3Sc2Al3O12
_chemical_formula_sum 'Y24 Sc16 Al24 O96'
_cell_length_a 12.447
_cell_length_b 12.447
_cell_length_c 12.447
_cell_angle_alpha 90.00
_cell_angle_beta 90.00
_cell_angle_gamma 90.00
_space_group_name_H-M_alt 'I a -3 d'
_space_group_IT_number 230
_space_group_name_Hall '-I 4bd 2c 3'
loop_
_atom_site_label
_atom_site_type_symbol
_atom_site_fract_x
_atom_site_fract_y
_atom_site_fract_z
Y1 Y 0.000 0.250 0.125
Sc1 Sc 0.000 0.000 0.000
Al1 Al 0.000 0.250 0.375
O1 O 0.031 0.057 0.657

---

(21)
# LaNiW2 (PBE-GGA, relaxed)
# E_tot: -33.6 eV/f.u.
# DOS(E_F): 1.42 states/eV per atom
# Magnetization: 0.01 μB per cell
data_LaNiW2
_chemical_formula_sum 'La3 Ni3 W6'
_cell_length_a 2.8830
_cell_length_b 2.8830
_cell_length_c 29.8221
_cell_angle_alpha 90.00
_cell_angle_beta 90.00
_cell_angle_gamma 120.00
_space_group_name_H-M_alt 'R -3 m'
_space_group_IT_number 166
_space_group_name_Hall '-R 3 2"'
loop_
_atom_site_label
_atom_site_type_symbol
_atom_site_fract_x
_atom_site_fract_y
_atom_site_fract_z
La1 La 0.0000 0.0000 0.0000
Ni1 Ni 0.0000 0.0000 0.5000
W1 W 0.0000 0.0000 0.2354